Here is an optimized crystal structure of CePmTh2 from Alexandria via LeMat-Bulk. Energies are from PBE-GGA.

Lattice parameters (Å, degrees): 5.6336 5.6336 5.6336 60.00 60.00 60.00
Closest atoms and distances in Å follow each position.
Positions (direct):
Ce (0.0000, 0.0000, 0.0000)  8 Th 3.45
Pm (0.5000, 0.5000, 0.5000)  8 Th 3.45
Th (0.2500, 0.2500, 0.2500)  4 Ce 3.45, 4 Pm 3.45
Th (0.7500, 0.7500, 0.7500)  4 Ce 3.45, 4 Pm 3.45

Results
As for the formation energy: 0.210 eV/atom. The final energy is -6.171 eV per atom. Its total magnetic moment is 0.00 μB per atom.

Here is an optimized crystal structure of In2FeSb from Alexandria via LeMat-Bulk. Energies are from PBE-GGA.

Lattice parameters (Å, degrees): 5.1080 5.1080 6.5560 111.15 111.15 36.16
Closest atoms and distances in Å follow each position.
Positions (direct):
In (0.0000, 0.0000, 0.0000)  2 Fe 2.71, 1 Sb 2.99
In (0.1811, 0.1811, 0.6663)  3 Fe 2.64-2.73
Fe (0.4464, 0.4464, 0.6422)  2 Sb 2.58, 5 In 2.64-2.73
Sb (0.8397, 0.8397, 0.3088)  2 Fe 2.58

Results
The final energy is -4.345 eV per atom. Its total magnetic moment is 0.37 μB per atom. The calculation puts the formation energy without anion corrections at 170 meV per atom.

Here is an optimized crystal structure of NaSrBi2 from Alexandria via LeMat-Bulk. Energies are from PBE-GGA.

Lattice parameters (Å, degrees): 11.3584 11.3584 11.3584 152.83 152.83 38.80
Closest atoms and distances in Å follow each position.
Positions (direct):
Na (0.0000, 0.0000, 0.0000)  4 Bi 3.16
Na (0.7500, 0.2500, 0.5000)  4 Bi 3.16
Sr (0.2500, 0.7500, 0.5000)  4 Bi 3.42, 4 Na 3.77
Sr (0.5000, 0.5000, 0.0000)  4 Bi 3.42, 4 Na 3.77
Bi (0.0662, 0.6250, 0.9412)  2 Na 3.16, 2 Bi 3.36, 2 Sr 3.42
Bi (0.3750, 0.3162, 0.4412)  2 Na 3.16, 2 Bi 3.36, 2 Sr 3.42
Bi (0.6838, 0.1250, 0.0588)  2 Na 3.16, 2 Bi 3.36, 2 Sr 3.42
Bi (0.8750, 0.9338, 0.5588)  2 Na 3.16, 2 Bi 3.36, 2 Sr 3.42

Results
As for the formation energy: -0.307 eV/atom. The final energy is -2.998 eV per atom. Its total magnetic moment is 0.00 μB per atom.